PBE Ag6Sb2Au, relaxed; final energy = -3.1158 eV/atom; calculated density = 9.4 g cm⁻³; space group = P2_1/c; energy relative to the elements, uncorrected = 0.0652 eV/atom
1.0
7.4998 0.0000 0.0000
0.0000 6.7370 0.0000
-6.4085 0.0000 7.5826
Ag Sb Au
12 4 2
direct
0.0190 0.1499 0.3110 Ag
0.0190 0.3501 0.8110 Ag
0.2593 0.1621 0.7042 Ag
0.2593 0.3379 0.2042 Ag
0.4774 0.1781 0.0745 Ag
0.4774 0.3219 0.5745 Ag
0.5226 0.6781 0.4255 Ag
0.5226 0.8219 0.9255 Ag
0.7407 0.6621 0.7958 Ag
0.7407 0.8379 0.2958 Ag
0.9810 0.6499 0.1890 Ag
0.9810 0.8501 0.6890 Ag
0.2743 0.6896 0.0435 Sb
0.2743 0.8104 0.5435 Sb
0.7257 0.1896 0.4565 Sb
0.7257 0.3104 0.9565 Sb
0.0000 0.0000 0.0000 Au
0.0000 0.5000 0.5000 Au



PBE AgSbAu3, relaxed; final energy = -2.6316 eV/atom; calculated density = 10.6 g cm⁻³; space group = Pm-3m; energy above the lowest structure with this stoichiometry = 718 meV per atom; energy relative to the elements, uncorrected = 0.7296 eV/atom
1.0
5.0516 0.0000 0.0000
0.0000 5.0516 0.0000
0.0000 0.0000 5.0516
Ag Sb Au
1 1 3
direct
0.0000 0.0000 0.0000 Ag
0.5000 0.5000 0.5000 Sb
0.0000 0.0000 0.5000 Au
0.0000 0.5000 0.0000 Au
0.5000 0.0000 0.0000 Au



PBE Ag7SbAu4, relaxed; final energy = -2.9544 eV/atom; calculated density = 11.4 g cm⁻³; space group = C2/m; energy above the lowest structure with this stoichiometry = 167 meV per atom; energy relative to the elements, uncorrected = 0.1448 eV/atom
1.0
5.2298 -2.5819 0.0000
5.2298 2.5819 0.0000
-4.9458 0.0000 8.9683
Ag Sb Au
7 1 4
direct
0.0000 0.0000 0.0000 Ag
0.1513 0.1513 0.6149 Ag
0.2078 0.2078 0.9091 Ag
0.3873 0.3873 0.5458 Ag
0.6127 0.6127 0.4542 Ag
0.7922 0.7922 0.0909 Ag
0.8487 0.8487 0.3851 Ag
0.5000 0.5000 0.0000 Sb
0.0922 0.0922 0.3134 Au
0.3198 0.3198 0.2313 Au
0.6802 0.6802 0.7687 Au
0.9078 0.9078 0.6866 Au